The following is a PBE with a Hubbard U calculation of VCuAgO4 after structural relaxation, from Alexandria via LeMat-Bulk.

abc: 5.586 5.586 6.578
angles: 90.00 90.00 90.00
Space group I-4 (No. 82)
One atom of each set of equivalent atoms:
V1 0.000 0.000 0.000
Cu1 0.000 0.500 0.250
Ag1 0.000 0.500 0.750
O1 0.153 0.208 0.153

Output
* E: -5.947 eV per atom